A plane-wave DFT calculation with PBEsol was carried out for a relaxed structure of SrCoPb2.

Unit cell a=3.4169 b=3.4169 c=7.9129 alpha=90.00 beta=90.00 gamma=90.00
Closest atoms and distances in Å follow each position.
Space group P4/mmm (No. 123)
Symmetry-distinct sites (fractional):
Sr (0.0000, 0.0000, 0.0000) x1  4 Sr 3.42, 8 Pb 3.43
Co (0.0000, 0.0000, 0.5000) x1  8 Pb 2.86
Pb (0.5000, 0.5000, 0.3073) x2  4 Co 2.86, 1 Pb 3.05

Calculated values
DOS at the Fermi energy   4.085 states/eV/f.u.

---

A plane-wave DFT calculation with PBEsol was carried out for a relaxed structure of YHg3.

Unit cell a=6.5225 b=6.5225 c=4.8787 alpha=90.00 beta=90.00 gamma=120.00
Closest atoms and distances in Å follow each position.
Space group P6_3/mmc (No. 194)
Symmetry-distinct sites (fractional):
Y (0.3333, 0.6667, 0.2500) x2  12 Hg 3.09-3.26
Hg (0.1652, 0.3303, 0.7500) x6  8 Hg 3.07-3.29, 4 Y 3.09-3.26

Calculated values
DOS at the Fermi energy   1.967 states/eV/f.u.

---

A plane-wave DFT calculation with PBEsol was carried out for a relaxed structure of Mg5Tl.

Unit cell a=11.4540 b=3.3750 c=7.3753 alpha=90.00 beta=106.00 gamma=90.00
Closest atoms and distances in Å follow each position.
Space group Cm (No. 8)
Symmetry-distinct sites (fractional):
Mg (0.0000, 0.0000, 0.0000) x2  3 Tl 3.14-3.16, 9 Mg 3.15-3.37
Mg (0.0447, 0.0000, 0.5973) x2  10 Mg 3.13-3.37, 2 Tl 3.18
Mg (0.1627, 0.5000, 0.3353) x2  11 Mg 3.14-3.37, 1 Tl 3.19
Mg (0.3307, 0.0000, 0.6661) x2  10 Mg 3.13-3.37, 2 Tl 3.15
Mg (0.3794, 0.0000, 0.2628) x2  2 Tl 3.13, 10 Mg 3.14-3.37
Tl (0.2152, 0.5000, 0.9329) x2  10 Mg 3.13-3.19, 2 Tl 3.37

Calculated values
DOS at the Fermi energy   2.121 states/eV/f.u.

---

A plane-wave DFT calculation with PBEsol was carried out for a relaxed structure of Cu3Mo.

Unit cell a=2.4752 b=4.1149 c=4.9493 alpha=90.00 beta=97.86 gamma=90.00
Closest atoms and distances in Å follow each position.
Space group P2/m (No. 10)
Symmetry-distinct sites (fractional):
Cu (0.0000, 0.0000, 0.0000) x1  6 Cu 2.44-2.48, 2 Mo 2.61
Cu (0.1336, 0.5000, 0.7536) x2  6 Cu 2.44-2.61, 2 Mo 2.63
Mo (0.5000, 0.0000, 0.5000) x1  2 Mo 2.48, 6 Cu 2.61-2.63

Calculated values
DOS at the Fermi energy   2.537 states/eV/f.u.

---

A plane-wave DFT calculation with PBEsol was carried out for a relaxed structure of ZnW2Cl.

Unit cell a=4.5327 b=4.5327 c=2.8085 alpha=90.00 beta=90.00 gamma=90.00
Closest atoms and distances in Å follow each position.
Space group P4/mmm (No. 123)
Symmetry-distinct sites (fractional):
Zn (0.0000, 0.0000, 0.0000) x1  8 W 2.67, 2 Zn 2.81
W (0.0000, 0.5000, 0.5000) x2  4 Cl 2.67, 4 Zn 2.67, 2 W 2.81
Cl (0.5000, 0.5000, 0.0000) x1  8 W 2.67, 2 Cl 2.81

Calculated values
DOS at the Fermi energy   3.879 states/eV/f.u.

---

A plane-wave DFT calculation with PBEsol was carried out for a relaxed structure of ZrSc2Fe.

Unit cell a=3.1875 b=4.6856 c=9.8731 alpha=90.00 beta=90.00 gamma=90.00
Closest atoms and distances in Å follow each position.
Space group Immm (No. 71)
Symmetry-distinct sites (fractional):
Zr (0.0000, 0.0000, 0.0000) x2  4 Fe 2.83, 4 Sc 3.09
Sc (0.0000, 0.5000, 0.2044) x4  2 Fe 2.57
Fe (0.0000, 0.0000, 0.5000) x2  4 Sc 2.57, 4 Zr 2.83

Calculated values
DOS at the Fermi energy   3.875 states/eV/f.u.

---

A plane-wave DFT calculation with PBEsol was carried out for a relaxed structure of Co3BiTe.

Unit cell a=4.6950 b=4.6950 c=4.6950 alpha=90.00 beta=90.00 gamma=90.00
Closest atoms and distances in Å follow each position.
Space group Pm-3m (No. 221)
Symmetry-distinct sites (fractional):
Co (0.0000, 0.0000, 0.5000) x3  2 Bi 2.35
Bi (0.0000, 0.0000, 0.0000) x1  6 Co 2.35
Te (0.5000, 0.5000, 0.5000) x1  12 Co 3.32

Calculated values
DOS at the Fermi energy   8.871 states/eV/f.u.

---

A plane-wave DFT calculation with PBEsol was carried out for a relaxed structure of Y2TaAs.

Unit cell a=4.3410 b=4.3410 c=9.0543 alpha=90.00 beta=90.00 gamma=90.00
Closest atoms and distances in Å follow each position.
Space group I4/mmm (No. 139)
Symmetry-distinct sites (fractional):
Y (0.0000, 0.5000, 0.2500) x4  4 Y 3.07, 4 Ta 3.14, 4 As 3.14
Ta (0.0000, 0.0000, 0.0000) x2  4 As 3.07, 8 Y 3.14
As (0.0000, 0.0000, 0.5000) x2  4 Ta 3.07, 8 Y 3.14

Calculated values
DOS at the Fermi energy   5.513 states/eV/f.u.

---

no.,calculated total energy (eV per atom)
1,-4.31
2,-2.61
3,-1.90
4,-5.95
5,-6.79
6,-7.89
7,-4.73
8,-7.83